[1]
The following is a meta-GGA SCAN calculation of a PBEsol-optimized structure of SbPb3, from Alexandria.

Output
- Uncorrected energy: -66.051 eV/atom
- D(E_F): 1.84 states/eV/cell
- Space-group type: Fm-3m, No. 225
- V: 28.65 Å³ per atom
- Spin magnetization: 0.0 μB/f.u.

extended XYZ file:
```
4
Lattice="-0.556 3.664 3.998 -3.629 -0.838 3.981 1.707 -1.185 5.040" Properties=species:S:1:pos:R:3 pbc="T T T"
Pb -0.619 0.410 3.255
Pb -1.239 0.820 6.510
Pb -1.858 1.231 9.765
Sb 0.000 0.000 0.000
```

=====

[2]
The following is a meta-GGA SCAN calculation of a PBEsol-optimized structure of YSiAs2, from Alexandria.

Output
- Uncorrected energy: -19.981 eV/atom
- D(E_F): 1.69 states/eV/cell
- Space-group type: Cmmm, No. 65
- V: 19.41 Å³ per atom
- Spin magnetization: 0.0 μB/f.u.

extended XYZ file:
```
4
Lattice="-2.897 -1.173 2.034 2.889 -2.158 2.869 -0.297 4.154 1.974" Properties=species:S:1:pos:R:3 pbc="T T T"
As 1.444 -1.079 1.435
As -0.148 2.077 0.987
Si -1.448 -0.587 1.017
Y -0.152 0.411 3.438
```

=====

[3]
The following is a meta-GGA SCAN calculation of a PBEsol-optimized structure of BaSNF2, from Alexandria.

Output
- E above lowest polymorph: 0.0 meV/atom
- D(E_F): 1.19 states/eV/cell
- Space-group type: P4/mmm, No. 123
- V: 15.51 Å³ per atom
- Spin magnetization: 0.0 μB/f.u.

extended XYZ file:
```
5
Lattice="-1.485 -1.287 2.842 2.765 -3.835 -0.293 3.264 2.149 2.678" Properties=species:S:1:pos:R:3 pbc="T T T"
S 0.000 0.000 0.000
N -0.742 -0.644 1.421
Ba 2.272 -1.487 2.614
F 1.632 1.074 1.339
F 1.383 -1.918 -0.146
```

=====

- Look up the D(E_F) of the first one.
  1.84 states/eV/cell